Material: ScReRu2
Method: DFT, SCAN
State: PBEsol geometry

Computed properties:
Calculated total energy: -2.8616 Ry/atom
Spin magnetization: 0.00 μB/cell
Formation enthalpy at 0 K: -18.1 kJ/mol of atoms

Cell lengths 6.3217, 6.3468, 2.9462 Å; angles 90.00, 90.00, 90.00 degrees
Space group Cmmm (No. 65)
Unique sites:
Sc1 0.0000 0.0000 0.0000
Re1 0.0000 0.5000 0.0000
Ru1 0.2500 0.2500 0.5000

***

Material: PPtSe2
Method: DFT, SCAN
State: PBEsol geometry

Computed properties:
Formation energy without anion corrections: 0.04 eV per atom
Calculated total energy: -2.2157 Ry/atom
Spin magnetization: 0.00 μB/cell

Cell lengths 5.1749, 5.1749, 5.1535 Å; angles 90.00, 90.00, 90.00 degrees
Space group I4/mmm (No. 139)
Unique sites:
P1 0.0000 0.0000 0.0000
Pt1 0.0000 0.0000 0.5000
Se1 0.0000 0.5000 0.0000

***

Material: LiZnInF6
Method: DFT, SCAN
State: PBEsol geometry

Computed properties:
Formation energy without anion corrections: -2.72 eV per atom
Calculated total energy: -0.7759 Ry/atom
Spin magnetization: 0.00 μB/cell

Cell lengths 8.9186, 8.9186, 4.6284 Å; angles 90.00, 90.00, 120.00 degrees
Space group P321 (No. 150)
Unique sites:
Li1 0.0000 0.6989 0.0000
Zn1 0.0000 0.3565 0.5000
In1 0.0000 0.0000 0.5000
In2 0.3333 0.6667 0.9989
F1 0.1029 0.2290 0.7375
F2 0.1065 0.5668 0.7553
F3 0.2136 0.4392 0.2407

***

Material: PrW2O8
Method: DFT, SCAN
State: PBEsol geometry

Computed properties:
Formation energy without anion corrections: -2.44 eV per atom
Calculated total energy: -1.7333 Ry/atom
Spin magnetization: 2.01 μB/cell

Cell lengths 7.2999, 7.3286, 7.4948 Å; angles 113.82, 116.23, 90.92 degrees
Space group P-1 (No. 2)
Unique sites:
Pr1 0.1659 0.2834 0.4391
W1 0.2762 0.3033 0.0297
W2 0.3529 0.8959 0.7081
O1 0.0768 0.3334 0.1088
O2 0.1488 0.0013 0.8122
O3 0.1685 0.6478 0.5524
O4 0.2012 0.3657 0.8026
O5 0.2889 0.0014 0.5201
O6 0.3993 0.1808 0.2720
O7 0.4831 0.8364 0.0029
O8 0.4843 0.5312 0.2554

***

Material: TcNi2P
Method: DFT, SCAN
State: PBEsol geometry

Computed properties:
Calculated total energy: -1.4364 Ry/atom
Spin magnetization: 0.00 μB/cell
Formation enthalpy at 0 K: -8.9 kJ/mol of atoms

Cell lengths 2.6715, 3.8049, 4.6992 Å; angles 90.00, 104.33, 90.00 degrees
Space group P2/m (No. 10)
Unique sites:
Tc1 0.0000 0.0000 0.0000
Ni1 0.3823 0.5000 0.7367
P1 0.5000 0.0000 0.5000

***

Material: KBr2
Method: DFT, SCAN
State: PBEsol geometry

Computed properties:
Formation energy without anion corrections: -1.24 eV per atom
Energy above the most stable polymorph in this dataset: 0 meV/atom
Calculated total energy: -1.2488 Ry/atom
Spin magnetization: 0.00 μB/cell

Cell lengths 11.5925, 4.3392, 9.4463 Å; angles 90.00, 97.86, 90.00 degrees
Space group C2/m (No. 12)
Unique sites:
K1 0.0817 0.0000 0.3442
Br1 0.0464 0.5000 0.8900
Br2 0.1413 0.5000 0.6208

***

Material: LiAl2
Method: DFT, SCAN
State: PBEsol geometry

Computed properties:
Energy above the most stable polymorph in this dataset: 11 meV/atom
Calculated total energy: -0.4443 Ry/atom
Spin magnetization: 0.00 μB/cell
Formation enthalpy at 0 K: -7.8 kJ/mol of atoms

Cell lengths 2.8027, 2.8027, 12.5556 Å; angles 90.00, 90.00, 90.00 degrees
Space group I4/mmm (No. 139)
Unique sites:
Li1 0.0000 0.0000 0.0000
Al1 0.0000 0.0000 0.3302

***

Material: BaBeF2
Method: DFT, SCAN
State: PBEsol geometry

Computed properties:
Formation energy without anion corrections: -1.52 eV per atom
Calculated total energy: -1.0487 Ry/atom
Spin magnetization: 0.00 μB/cell

Cell lengths 3.0925, 3.0925, 22.5589 Å; angles 90.00, 90.00, 120.00 degrees
Space group R-3m (No. 166, hexagonal axes)
Unique sites:
Ba1 0.0000 0.0000 0.0000
Be1 0.0000 0.0000 0.5000
F1 0.0000 0.0000 0.1317

***

Material: Sr2ScTa
Method: DFT, SCAN
State: PBEsol geometry

Computed properties:
Energy above the most stable polymorph in this dataset: 18 meV/atom
Calculated total energy: -2.2293 Ry/atom
Spin magnetization: 1.64 μB/cell
Formation enthalpy at 0 K: 97.6 kJ/mol of atoms

Cell lengths 4.6531, 4.6531, 5.2356 Å; angles 90.00, 90.00, 90.00 degrees
Space group P4/mmm (No. 123)
Unique sites:
Sr1 0.0000 0.5000 0.0000
Sc1 0.0000 0.0000 0.5000
Ta1 0.5000 0.5000 0.5000

***

Material: IrRh3
Method: DFT, SCAN
State: PBEsol geometry

Computed properties:
Calculated total energy: -3.1650 Ry/atom
Spin magnetization: 0.00 μB/cell
Formation enthalpy at 0 K: 3.9 kJ/mol of atoms

Cell lengths 4.3545, 5.3797, 4.6578 Å; angles 90.00, 90.00, 90.00 degrees
Space group Pmmn (No. 59, origin choice 2)
Unique sites:
Ir1 0.2500 0.2500 0.1675
Rh1 0.2500 0.0011 0.6664
Rh2 0.2500 0.7500 0.1646

***

Material: LaTeBrN2
Method: DFT, SCAN
State: PBEsol geometry

Computed properties:
Formation energy without anion corrections: 0.68 eV per atom
Energy above the most stable polymorph in this dataset: 0 meV/atom
Calculated total energy: -1.6903 Ry/atom
Spin magnetization: 0.00 μB/cell

Cell lengths 4.2105, 4.2105, 6.9225 Å; angles 90.00, 90.00, 90.00 degrees
Space group P4/mmm (No. 123)
Unique sites:
La1 0.0000 0.0000 0.0000
Te1 0.0000 0.0000 0.5000
Br1 0.5000 0.5000 0.5000
N1 0.0000 0.5000 0.0000

***

Material: Cu2Te3O8
Method: DFT, SCAN
State: PBEsol geometry

Computed properties:
Formation energy without anion corrections: -1.01 eV per atom
Calculated total energy: -1.1597 Ry/atom
Spin magnetization: 8.07 μB/cell

Cell lengths 11.7261, 5.2553, 12.0449 Å; angles 90.00, 100.38, 90.00 degrees
Space group C2/c (No. 15)
Unique sites:
Cu1 0.2338 0.2244 0.3440
Te1 0.0000 0.1520 0.7500
Te2 0.1313 0.2126 0.0513
O1 0.0875 0.0768 0.3559
O2 0.1170 0.1099 0.6396
O3 0.1875 0.4019 0.1846
O4 0.2222 0.4626 0.9521